Entry from Alexandria via LeMat-Bulk: an optimized crystal structure of BeAgF3 (PBE).

The structure in POSCAR format:
```
BeAgF3
1.0
5.530 0.000 0.000
2.764 4.795 0.000
2.755 -1.584 5.553
Be Ag F
2 2 6
Direct
0.188 0.407 0.216
0.812 0.593 0.784
0.305 0.848 0.543
0.695 0.152 0.457
0.107 0.332 0.760
0.198 0.135 0.241
0.426 0.441 0.241
0.574 0.559 0.759
0.802 0.865 0.759
0.893 0.668 0.240
```

magnetic moment	0.00	Bohr magnetons per cell
excess energy over the best structure of this formula in the dataset	115	meV per atom
uncorrected formation energy	-2.234	eV/atom
DOS at the Fermi energy	0.000	states/eV/atom
electronic total energy	-46.73	eV per cell